<a>
## LiCu2Pt (PBE)

Data for crystalline LiCu2Pt at its relaxed geometry.

* crystal system: orthorhombic
* calculated volume: 13.6 Å³/atom
* D(E_F): 2.407 states/eV per cell

POSCAR file:
```
LiCu2Pt
1.0
1.4030 -2.2384 0.0000
1.4030 2.2384 0.0000
0.0000 0.0000 8.6347
Li Cu Pt
1 2 1
Direct
0.0000 0.0000 0.0000 Li
0.0000 0.0000 0.4899 Cu
0.5000 0.5000 0.2534 Cu
0.5000 0.5000 0.7515 Pt
```

<b>
## LiCu2Pt (PBE)

Data for crystalline LiCu2Pt at its relaxed geometry.

* crystal system: monoclinic
* calculated volume: 13.1 Å³/atom
* D(E_F): 1.559 states/eV per cell

POSCAR file:
```
LiCu2Pt
1.0
2.6338 0.0000 0.0000
0.0000 4.0740 0.0000
-1.2824 0.0000 4.8651
Li Cu Pt
1 2 1
Direct
0.0000 0.0000 0.0000 Li
0.4241 0.5000 0.2423 Cu
0.5759 0.5000 0.7577 Cu
0.0000 0.0000 0.5000 Pt
```

Name the most stable of them. <b>.

<a>
## K2Rb5Au4 (PBE)

Data for crystalline K2Rb5Au4 at its relaxed geometry.

* crystal system: monoclinic
* calculated volume: 47.8 Å³/atom
* D(E_F): 8.795 states/eV per cell

POSCAR file:
```
K2Rb5Au4
1.0
12.7842 -2.4405 0.0000
12.7842 2.4405 0.0000
-2.8230 0.0000 8.4310
K Rb Au
2 5 4
Direct
0.0709 0.0709 0.0981 K
0.9291 0.9291 0.9019 K
0.0000 0.0000 0.5000 Rb
0.3255 0.3255 0.5581 Rb
0.3327 0.3327 0.0921 Rb
0.6673 0.6673 0.9079 Rb
0.6745 0.6745 0.4419 Rb
0.2104 0.2104 0.2067 Au
0.4880 0.4880 0.1619 Au
0.5120 0.5120 0.8381 Au
0.7896 0.7896 0.7933 Au
```

<b>
## K2Rb5Au4 (PBE)

Data for crystalline K2Rb5Au4 at its relaxed geometry.

* crystal system: monoclinic
* calculated volume: 45.3 Å³/atom
* D(E_F): 8.927 states/eV per cell

POSCAR file:
```
K2Rb5Au4
1.0
10.2133 -2.4962 0.0000
10.2133 2.4962 0.0000
-7.0682 0.0000 9.7655
K Rb Au
2 5 4
Direct
0.0440 0.0440 0.1944 K
0.9560 0.9560 0.8056 K
0.0000 0.0000 0.5000 Rb
0.2520 0.2520 0.6594 Rb
0.3561 0.3561 0.1415 Rb
0.6439 0.6439 0.8585 Rb
0.7480 0.7480 0.3406 Rb
0.1598 0.1598 0.0766 Au
0.4024 0.4024 0.5748 Au
0.5976 0.5976 0.4252 Au
0.8402 0.8402 0.9234 Au
```

Name the most stable of them. <b>.

<a>
## KAlCl (PBE)

Data for crystalline KAlCl at its relaxed geometry.

* crystal system: cubic
* calculated volume: 34.9 Å³/atom
* D(E_F): 1.672 states/eV per cell

POSCAR file:
```
KAlCl
1.0
0.0000 3.7411 3.7411
3.7411 0.0000 3.7411
3.7411 3.7411 0.0000
K Al Cl
1 1 1
Direct
0.0000 0.0000 0.0000 K
0.5000 0.5000 0.5000 Al
0.7500 0.7500 0.7500 Cl
```

<b>
## KAlCl (PBE)

Data for crystalline KAlCl at its relaxed geometry.

* crystal system: cubic
* calculated volume: 38.1 Å³/atom
* D(E_F): 2.685 states/eV per cell

POSCAR file:
```
KAlCl
1.0
0.0000 3.8520 3.8520
3.8520 0.0000 3.8520
3.8520 3.8520 0.0000
K Al Cl
1 1 1
Direct
0.0000 0.0000 0.0000 K
0.2500 0.2500 0.2500 Al
0.7500 0.7500 0.7500 Cl
```

Name the most stable of them. <a>.

<a>
## Al2CoTc (PBE)

Data for crystalline Al2CoTc at its relaxed geometry.

* crystal system: monoclinic
* calculated volume: 13.5 Å³/atom
* D(E_F): 3.411 states/eV per cell

POSCAR file:
```
Al2CoTc
1.0
2.7038 -4.0031 0.0000
2.7038 4.0031 0.0000
-0.9850 0.0000 2.4944
Al Co Tc
2 1 1
Direct
0.0000 0.5000 0.0000 Al
0.5000 0.0000 0.0000 Al
0.0000 0.0000 0.5000 Co
0.5000 0.5000 0.5000 Tc
```

<b>
## Al2CoTc (PBE)

Data for crystalline Al2CoTc at its relaxed geometry.

* crystal system: cubic
* calculated volume: 13.5 Å³/atom
* D(E_F): 3.996 states/eV per cell

POSCAR file:
```
Al2CoTc
1.0
0.0000 2.9990 2.9990
2.9990 0.0000 2.9990
2.9990 2.9990 0.0000
Al Co Tc
2 1 1
Direct
0.0000 0.0000 0.0000 Al
0.2500 0.2500 0.2500 Al
0.5000 0.5000 0.5000 Co
0.7500 0.7500 0.7500 Tc
```

Name the most stable of them. <a>.

<a>
## PaPt3 (PBE)

Data for crystalline PaPt3 at its relaxed geometry.

* crystal system: cubic
* calculated volume: 18.3 Å³/atom
* D(E_F): 5.769 states/eV per cell

POSCAR file:
```
PaPt3
1.0
4.1865 0.0000 0.0000
0.0000 4.1865 0.0000
0.0000 0.0000 4.1865
Pa Pt
1 3
Direct
0.0000 0.0000 0.0000 Pa
0.0000 0.5000 0.5000 Pt
0.5000 0.0000 0.5000 Pt
0.5000 0.5000 0.0000 Pt
```

<b>
## PaPt3 (PBE)

Data for crystalline PaPt3 at its relaxed geometry.

* crystal system: cubic
* calculated volume: 18.7 Å³/atom
* D(E_F): 3.288 states/eV per cell

POSCAR file:
```
PaPt3
1.0
0.0000 3.3467 3.3467
3.3467 0.0000 3.3467
3.3467 3.3467 0.0000
Pa Pt
1 3
Direct
0.0000 0.0000 0.0000 Pa
0.2500 0.2500 0.2500 Pt
0.5000 0.5000 0.5000 Pt
0.7500 0.7500 0.7500 Pt
```

Name the most stable of them. <a>.

<a>
## B2C (PBE)

Data for crystalline B2C at its relaxed geometry.

* crystal system: monoclinic
* calculated volume: 6.7 Å³/atom
* D(E_F): 1.530 states/eV per cell

POSCAR file:
```
B2C
1.0
6.6219 -1.3631 0.0000
6.6219 1.3631 0.0000
-1.6695 0.0000 4.4371
B C
8 4
Direct
0.0000 0.0000 0.0000 B
0.1716 0.1716 0.8462 B
0.3643 0.3643 0.3609 B
0.4358 0.4358 0.1054 B
0.5011 0.5011 0.5146 B
0.7936 0.7936 0.4662 B
0.8579 0.8579 0.8740 B
0.9227 0.9227 0.5969 B
0.1271 0.1271 0.1382 C
0.3084 0.3084 0.9811 C
0.6266 0.6266 0.6209 C
0.6667 0.6667 0.3430 C
```

<b>
## B2C (PBE)

Data for crystalline B2C at its relaxed geometry.

* crystal system: monoclinic
* calculated volume: 7.3 Å³/atom
* D(E_F): 1.249 states/eV per cell

POSCAR file:
```
B2C
1.0
7.0567 -1.3694 0.0000
7.0567 1.3694 0.0000
-1.1707 0.0000 4.5033
B C
8 4
Direct
0.0360 0.0360 0.3689 B
0.0623 0.0623 0.9944 B
0.2654 0.2654 0.8441 B
0.3929 0.3929 0.4624 B
0.6071 0.6071 0.5376 B
0.7346 0.7346 0.1559 B
0.9377 0.9377 0.0056 B
0.9640 0.9640 0.6311 B
0.2950 0.2950 0.2339 C
0.3779 0.3779 0.0018 C
0.6221 0.6221 0.9982 C
0.7050 0.7050 0.7661 C
```

Name the most stable of them. <a>.

<a>
## Sr2MgBr (PBE)

Data for crystalline Sr2MgBr at its relaxed geometry.

* crystal system: orthorhombic
* calculated volume: 38.8 Å³/atom
* D(E_F): 3.218 states/eV per cell

POSCAR file:
```
Sr2MgBr
1.0
-1.9891 2.1209 9.2068
1.9891 -2.1209 9.2068
1.9891 2.1209 -9.2068
Sr Mg Br
2 1 1
Direct
0.0000 0.0000 0.0000 Sr
0.7479 0.2479 0.5000 Sr
0.3946 0.3946 0.0000 Mg
0.1525 0.6525 0.5000 Br
```

<b>
## Sr2MgBr (PBE)

Data for crystalline Sr2MgBr at its relaxed geometry.

* crystal system: cubic
* calculated volume: 41.1 Å³/atom
* D(E_F): 4.478 states/eV per cell

POSCAR file:
```
Sr2MgBr
1.0
0.0000 4.3472 4.3472
4.3472 0.0000 4.3472
4.3472 4.3472 0.0000
Sr Mg Br
2 1 1
Direct
0.0000 0.0000 0.0000 Sr
0.2500 0.2500 0.2500 Sr
0.5000 0.5000 0.5000 Mg
0.7500 0.7500 0.7500 Br
```

Name the most stable of them. <a>.

<a>
## SrMnS (PBE)

Data for crystalline SrMnS at its relaxed geometry.

* crystal system: monoclinic
* calculated volume: 24.5 Å³/atom
* D(E_F): 5.670 states/eV per cell

POSCAR file:
```
SrMnS
1.0
8.4230 -1.9544 0.0000
8.4230 1.9544 0.0000
-0.5952 0.0000 4.4687
Sr Mn S
2 2 2
Direct
0.0000 0.0000 0.0000 Sr
0.1947 0.1947 0.6006 Sr
0.3975 0.3975 0.4540 Mn
0.8013 0.8013 0.1481 Mn
0.3617 0.3617 0.9313 S
0.5463 0.5463 0.5182 S
```

<b>
## SrMnS (PBE)

Data for crystalline SrMnS at its relaxed geometry.

* crystal system: triclinic
* calculated volume: 26.2 Å³/atom
* D(E_F): 4.444 states/eV per cell

POSCAR file:
```
SrMnS
1.0
5.0345 0.0000 0.0000
2.4019 5.0197 0.0000
2.4819 -0.0002 6.2170
Sr Mn S
2 2 2
Direct
0.0000 0.0000 0.0000 Sr
0.2703 0.5023 0.4649 Sr
0.5696 0.8580 0.5365 Mn
0.9005 0.1476 0.5353 Mn
0.3723 0.0024 0.2579 S
0.6148 0.5023 0.7787 S
```

Name the most stable of them. <a>.